## PuMgTlCd (GGA-PBE)

Data for an optimized crystal structure of PuMgTlCd.

Properties
- Space-group type: No. 216
- Theoretical density: 9.65 Mg/m³
- ΔH_f (0 K): -65 meV/atom

Cell: 5.2227 5.2227 5.2227 Å, 60.00 60.00 60.00°
Sites, in units of the cell vectors:
Pu  0.0000  0.0000  0.0000
Cd  0.2500  0.2500  0.2500
Mg  0.5000  0.5000  0.5000
Tl  0.7500  0.7500  0.7500

***

## TmPuMgCd (GGA-PBE)

Data for an optimized crystal structure of TmPuMgCd.

Properties
- Space-group type: No. 216
- Theoretical density: 8.68 Mg/m³
- ΔH_f (0 K): 6 meV/atom

Cell: 5.2985 5.2985 5.2985 Å, 60.00 60.00 60.00°
Sites, in units of the cell vectors:
Mg  0.2500  0.2500  0.2500
Cd  0.7500  0.7500  0.7500
Pu  0.5000  0.5000  0.5000
Tm  0.0000  0.0000  0.0000

***

Among the records above, which one has the lowest theoretical density?
TmPuMgCd

***

What did the second record say?
## TmPuMgCd (GGA-PBE)

Data for an optimized crystal structure of TmPuMgCd.

Properties
- Space-group type: No. 216
- Theoretical density: 8.68 Mg/m³
- ΔH_f (0 K): 6 meV/atom

Cell: 5.2985 5.2985 5.2985 Å, 60.00 60.00 60.00°
Sites, in units of the cell vectors:
Mg  0.2500  0.2500  0.2500
Cd  0.7500  0.7500  0.7500
Pu  0.5000  0.5000  0.5000
Tm  0.0000  0.0000  0.0000